Ba3ThSe7 | GGA-PBEsol | optimized geometry

```
Ba3ThSe7
1.0
-2.8907 6.2102 4.7334
2.8907 -6.2102 4.7334
2.8907 6.2102 -4.7334
Ba Th Se
3 1 7
Cartesian
0.0000 0.0000 0.0000
2.8907 2.9678 -1.9735
0.0000 3.2425 2.7599
2.8907 0.0000 3.8547
2.8907 -1.1940 1.0684
2.8907 1.1940 1.0684
2.8907 -2.9023 4.2358
0.0000 0.0000 3.3227
2.8907 2.9023 4.2358
1.1972 6.2102 1.8678
1.6935 0.0000 6.6011
```

Volume   340 Å³/f.u.
Energy relative to the elements, uncorrected   -1.6354 eV per atom
SG   Imm2